Record 1
Material: Hf7In2H2
Method: DFT, PBE
State: relaxed

Computed properties:
crystal system	triclinic
D(E_F)	8.4	states/eV per cell
VASP energy	-7.57	eV/atom

Cell: 5.901 5.904 6.033 Å, 94.99 95.12 97.75°
Space group P-1 (No. 2)
Inequivalent atoms, fractional coordinates:
Hf (0.000, 0.000, 0.000) [1 per cell]
Hf (0.165, 0.507, 0.827) [2 per cell]
Hf (0.333, 0.334, 0.333) [2 per cell]
Hf (0.496, 0.837, 0.174) [2 per cell]
In (0.161, 0.837, 0.498) [2 per cell]
H (0.251, 0.251, 0.989) [2 per cell]


Record 2
Material: Tb6Er12In
Method: DFT, PBE
State: relaxed

Computed properties:
formation enthalpy at 0 K	0.095	eV per atom
distance to the lowest polymorph of the same formula	21.3	meV/atom
crystal system	trigonal
D(E_F)	104.6	states/eV per cell
VASP energy	-4.39	eV/atom

Cell: 12.8091 12.8091 12.7063 Å, 90.00 90.00 120.00°
Space group R-3m (No. 166, hexagonal axes)
Inequivalent atoms, fractional coordinates:
Tb (0.0910, 0.1819, 0.2739) [18 per cell]
Er (0.0000, 0.2597, 0.5000) [18 per cell]
Er (0.0553, 0.5277, 0.6139) [18 per cell]
In (0.0000, 0.0000, 0.5000) [3 per cell]